This record from the Alexandria database describes a relaxed Zr2ScNi crystal. The functional is PBE-GGA.

Properties
Space group: C2/m, No. 12

a = 5.551 Å, b = 5.551 Å, c = 3.149 Å
α = 99.88°, β = 99.88°, γ = 120.17°
Positions (direct):
Zr 0.000 0.500 0.000
Zr 0.500 0.000 0.000
Sc 0.000 0.000 0.500
Ni 0.500 0.500 0.500

This record from the Alexandria database describes a relaxed PmTm6Mg crystal. The functional is PBE-GGA.

Properties
Space group: R-3m, No. 166

a = 9.248 Å, b = 9.248 Å, c = 9.248 Å
α = 41.86°, β = 41.86°, γ = 41.86°
Positions (direct):
Pm 0.000 0.000 0.000
Tm 0.067 0.565 0.565
Tm 0.435 0.435 0.933
Tm 0.435 0.933 0.435
Tm 0.565 0.067 0.565
Tm 0.565 0.565 0.067
Tm 0.933 0.435 0.435
Mg 0.500 0.500 0.500

Number 1: total energy -7.219 eV/atom, calculated formation energy 0.08 eV/atom. Number 2: total energy -3.466 eV/atom, calculated formation energy 0.68 eV/atom.